Computed, not measured: a relaxed structure of PmHo8C4 at the PBE-GGA level of DFT.

For the total magnetization, the calculation gives 1.36 μB/cell. The value obtained for the total energy is -6.22 eV/atom. The calculation puts the theoretical density at 8.5 g/cm3. As for the formation energy: -0.199 eV per atom. For the density of states at the Fermi level, the calculation gives 23.94 states/eV per cell.

abc: 17.9834 3.5857 12.3822
angles: 90.00 132.26 90.00
Space group C2/m (No. 12)
Asymmetric unit:
Pm1 0.0000 0.0000 0.0000 (multiplicity 2)
Ho1 0.0416 0.0000 0.7310 (multiplicity 4)
Ho2 0.1396 0.5000 0.5983 (multiplicity 4)
Ho3 0.1644 0.5000 0.3486 (multiplicity 4)
Ho4 0.2066 0.5000 0.0645 (multiplicity 4)
C1 0.1487 0.0000 0.4682 (multiplicity 4)
C2 0.1671 0.5000 0.8256 (multiplicity 4)

***

Computed, not measured: a relaxed structure of MnCrIr2Se at the PBE-GGA level of DFT.

For the total magnetization, the calculation gives 2.18 μB/cell. The value obtained for the total energy is -7.02 eV/atom. The calculation puts the theoretical density at 10.0 g/cm3. The calculation puts the formation energy without anion corrections at 0.978 eV/atom. For the density of states at the Fermi level, the calculation gives 5.02 states/eV per cell.

abc: 4.6139 4.6139 4.4523
angles: 90.00 90.00 90.00
Space group P4/mmm (No. 123)
Asymmetric unit:
Mn1 0.0000 0.0000 0.0000 (multiplicity 1)
Cr1 0.5000 0.5000 0.0000 (multiplicity 1)
Ir1 0.0000 0.5000 0.5000 (multiplicity 2)
Se1 0.5000 0.5000 0.5000 (multiplicity 1)

***

Computed, not measured: a relaxed structure of FeSnTe2 at the PBE-GGA level of DFT.

For the total magnetization, the calculation gives 2.95 μB/cell. The value obtained for the total energy is -4.66 eV/atom. The calculation puts the theoretical density at 6.7 g/cm3. The calculation puts the formation energy without anion corrections at 0.023 eV/atom. For the density of states at the Fermi level, the calculation gives 15.54 states/eV per cell.

abc: 3.6479 3.6479 27.8896
angles: 90.00 90.00 120.00
Space group R-3m (No. 166, hexagonal axes)
Asymmetric unit:
Fe1 0.0000 0.0000 0.0000 (multiplicity 3)
Sn1 0.0000 0.0000 0.5000 (multiplicity 3)
Te1 0.0000 0.0000 0.3851 (multiplicity 6)

***

Computed, not measured: a relaxed structure of SrHgGe3 at the PBE-GGA level of DFT.

For the total magnetization, the calculation gives 0.00 μB/cell. The value obtained for the total energy is -2.84 eV/atom. The calculation puts the theoretical density at 5.6 g/cm3. As for the formation energy: 0.327 eV per atom. The calculation puts the energy relative to the lowest polymorph listed for this composition at 0.00 kcal/mol of atoms. For the density of states at the Fermi level, the calculation gives 3.54 states/eV per cell.

abc: 5.3156 5.3156 5.3156
angles: 90.00 90.00 90.00
Space group Pm-3m (No. 221)
Asymmetric unit:
Sr1 0.0000 0.0000 0.0000 (multiplicity 1)
Hg1 0.5000 0.5000 0.5000 (multiplicity 1)
Ge1 0.0000 0.5000 0.5000 (multiplicity 3)